(1)
The following is a PBE-GGA calculation of an optimized crystal structure of Cu2GeAs, from Alexandria via LeMat-Bulk.

Geometry as CIF:
```
data_Cu2GeAs
_chemical_formula_sum 'Cu8 Ge4 As4'
_cell_length_a 6.2914
_cell_length_b 6.2914
_cell_length_c 6.2914
_cell_angle_alpha 90.00
_cell_angle_beta 90.00
_cell_angle_gamma 90.00
_symmetry_space_group_name_H-M 'F m -3 m'
_symmetry_Int_Tables_number 225
_symmetry_space_group_name_Hall '-F 4 2 3'
loop_
_atom_site_label
_atom_site_fract_x
_atom_site_fract_y
_atom_site_fract_z
Cu1 0.2500 0.2500 0.2500
Ge1 0.0000 0.0000 0.0000
As1 0.0000 0.0000 0.5000
```

Calculated values
* DFT total energy: -4.142 eV per atom
* spin magnetization: 0.000 μB per formula unit
* energy relative to the elements: 222 meV per atom

(2)
The following is a PBE-GGA calculation of an optimized crystal structure of ScVPd6, from Alexandria via LeMat-Bulk.

Geometry as CIF:
```
data_ScVPd6
_chemical_formula_sum 'Sc1 V1 Pd6'
_cell_length_a 3.9440
_cell_length_b 3.9440
_cell_length_c 7.9124
_cell_angle_alpha 90.00
_cell_angle_beta 90.00
_cell_angle_gamma 90.00
_symmetry_space_group_name_H-M 'P 4/m m m'
_symmetry_Int_Tables_number 123
_symmetry_space_group_name_Hall '-P 4 2'
loop_
_atom_site_label
_atom_site_fract_x
_atom_site_fract_y
_atom_site_fract_z
Sc1 0.0000 0.0000 0.0000
V1 0.0000 0.0000 0.5000
Pd1 0.0000 0.5000 0.2608
Pd2 0.5000 0.5000 0.0000
Pd3 0.5000 0.5000 0.5000
```

Calculated values
* DFT total energy: -6.378 eV per atom
* spin magnetization: 0.540 μB per formula unit
* energy relative to the elements: -552 meV per atom